The following is a DFT calculation (GGA+U) of a relaxed structure of LiCaCoF6.

* excess energy over the best structure of this formula in the dataset: 0.739 eV per formula unit
* crystal system: trigonal
* E_tot: -44.79 eV per formula unit

```
LiCaCoF6
1.0
5.4311 0.0000 0.0000
-2.7156 4.7035 0.0000
0.0000 0.0000 8.6775
Li Ca Co F
2 2 2 12
Direct
0.0000 0.0000 0.0000
0.0000 0.0000 0.5000
0.3333 0.6667 0.2500
0.6667 0.3333 0.7500
0.3333 0.6667 0.7500
0.6667 0.3333 0.2500
0.0552 0.3737 0.6284
0.0552 0.6814 0.8716
0.3186 0.3737 0.8716
0.3186 0.9448 0.6284
0.3737 0.0552 0.1284
0.3737 0.3186 0.3716
0.6263 0.6814 0.6284
0.6263 0.9448 0.8716
0.6814 0.0552 0.3716
0.6814 0.6263 0.1284
0.9448 0.3186 0.1284
0.9448 0.6263 0.3716
```